Cd2HgIrPb, optimized geometry, DFT PBE; final energy = -14.1 eV/cell; calculated formation energy = 0.6 eV/f.u.
1.0
5.325 0.000 0.000
0.000 5.325 0.000
0.000 0.000 5.167
Cd Hg Ir Pb
2 1 1 1
Direct
0.000 0.500 0.000
0.500 0.000 0.000
0.000 0.000 0.500
0.500 0.500 0.000
0.500 0.500 0.500

BiPb2F7, optimized geometry, DFT PBE; final energy = -47.2 eV/cell; raw formation energy = -2.276 eV per atom
1.0
-2.024 2.024 9.359
2.024 -2.024 9.359
2.024 2.024 -9.359
Bi Pb F
1 2 7
Direct
0.000 0.000 0.000
0.334 0.334 0.000
0.666 0.666 0.000
0.084 0.584 0.500
0.250 0.750 0.500
0.416 0.916 0.500
0.500 0.500 0.000
0.584 0.084 0.500
0.750 0.250 0.500
0.916 0.416 0.500

LaZr2Cl, optimized geometry, DFT PBE; final energy = -24.5 eV/cell; raw formation energy = -0.162 eV per atom
1.0
1.649 -2.930 0.000
1.649 2.930 0.000
0.000 0.000 9.962
La Zr Cl
1 2 1
Direct
0.000 0.000 0.000
0.500 0.500 0.278
0.500 0.500 0.722
0.000 0.000 0.500

PaAg2Pb, optimized geometry, DFT PBE; final energy = -18.0 eV/cell; calculated formation energy = 0.9 eV/f.u.
1.0
4.525 0.000 0.000
0.000 4.525 0.000
0.000 0.000 4.675
Pa Ag Pb
1 2 1
Direct
0.000 0.000 0.000
0.000 0.500 0.500
0.500 0.000 0.500
0.500 0.500 0.000

TaAlCu, optimized geometry, DFT PBE; final energy = -41.0 eV/cell; calculated formation energy = -0.8 eV/f.u.
1.0
-2.476 2.538 3.489
2.476 -2.538 3.489
2.476 2.538 -3.489
Ta Al Cu
2 2 2
Direct
0.377 0.127 0.250
0.623 0.873 0.750
0.000 0.500 0.500
0.500 0.500 0.000
0.000 0.000 0.500
0.000 0.500 0.000

PuZrTlPb, optimized geometry, DFT PBE; final energy = -28.9 eV/cell; calculated formation energy = 0.1 eV/f.u.
1.0
0.000 3.727 3.727
3.727 0.000 3.727
3.727 3.727 0.000
Pu Zr Tl Pb
1 1 1 1
Direct
0.000 0.000 0.000
0.500 0.500 0.500
0.750 0.750 0.750
0.250 0.250 0.250

PmErBeRh, optimized geometry, DFT PBE; final energy = -21.7 eV/cell; calculated formation energy = -1.3 eV/f.u.
1.0
0.000 3.462 3.462
3.462 0.000 3.462
3.462 3.462 0.000
Pm Er Be Rh
1 1 1 1
Direct
0.000 0.000 0.000
0.500 0.500 0.500
0.250 0.250 0.250
0.750 0.750 0.750

ZnCoPI2, optimized geometry, DFT PBE; final energy = -12.5 eV/cell; raw formation energy = 0.882 eV per atom
1.0
5.488 0.000 0.000
0.000 5.488 0.000
0.000 0.000 4.696
Zn Co P I
1 1 1 2
Direct
0.000 0.000 0.000
0.500 0.500 0.000
0.000 0.000 0.500
0.000 0.500 0.500
0.500 0.000 0.500

What is the formula in the seventh record?
PmErBeRh

Look up the final energy of the sixth one.
-28.9 eV/cell

Which formula does entry 7 have?
PmErBeRh